No. 1
Material: Ac4IrSe2Cl
Method: DFT, PBE
State: optimized geometry

Properties
- Volume: 31.45 A^3/atom
- ΔE_f (raw): -1.483 eV/atom

a b c (Å): 4.3274 7.7424 7.9218
angles (deg): 108.55 90.00 90.00
Last column: nearest neighbours and their distance in Å.
Fractional positions:
Ac  0.0000  0.7229  0.2256  2 Ir 2.98, 3 Se 3.18-3.32, 1 Cl 3.20
Ir  0.5000  0.5000  0.0000  6 Ac 2.98-3.09
Cl  0.0000  0.0000  0.0000  6 Ac 3.17-3.20
Se  0.5000  0.0000  0.5000  6 Ac 3.27-3.32
Se  0.0000  0.5000  0.5000  6 Ac 3.13-3.18
Ac  0.0000  0.2771  0.7744  2 Ir 2.98, 3 Se 3.18-3.32, 1 Cl 3.20
Ac  0.5000  0.2609  0.2466  1 Ir 3.09, 3 Se 3.13-3.27, 2 Cl 3.17
Ac  0.5000  0.7391  0.7534  1 Ir 3.09, 3 Se 3.13-3.27, 2 Cl 3.17

=====

No. 2
Material: Pm4InSi
Method: DFT, PBE
State: optimized geometry

Properties
- Volume: 32.18 A^3/atom
- Distance to the lowest polymorph of the same formula: 155.9 meV per atom
- ΔE_f (raw): -0.253 eV/atom

a b c (Å): 7.2897 7.2897 8.9092
angles (deg): 114.15 114.15 90.00
Last column: nearest neighbours and their distance in Å.
Fractional positions:
Pm  0.8750  0.8625  0.2500  2 Si 3.10, 2 In 3.21, 1 Pm 3.46
Pm  0.3750  0.8625  0.2500  2 Si 3.10, 2 In 3.21, 1 Pm 3.46
Pm  0.1375  0.6250  0.7500  2 Si 3.10, 2 In 3.21, 1 Pm 3.46
Si  0.2500  0.7500  0.5000  8 Pm 3.10
Pm  0.3750  0.3875  0.2500  2 Si 3.10, 2 In 3.21, 1 Pm 3.46
Pm  0.6125  0.6250  0.7500  2 Si 3.10, 2 In 3.21, 1 Pm 3.46
Pm  0.1375  0.1250  0.7500  2 Si 3.10, 2 In 3.21, 1 Pm 3.46
In  0.0000  0.0000  0.0000  8 Pm 3.21
In  0.7500  0.2500  0.5000  8 Pm 3.21
Pm  0.6125  0.1250  0.7500  2 Si 3.10, 2 In 3.21, 1 Pm 3.46
Pm  0.8750  0.3875  0.2500  2 Si 3.10, 2 In 3.21, 1 Pm 3.46
Si  0.5000  0.5000  0.0000  8 Pm 3.10

=====

No. 3
Material: AgHgW
Method: DFT, PBE
State: optimized geometry

Properties
- Volume: 18.02 A^3/atom
- Energy relative to the elements: 0.62 eV/atom
- Distance to the lowest polymorph of the same formula: 12.4 meV per atom

a b c (Å): 7.0676 7.0676 7.0676
angles (deg): 156.96 156.96 32.82
Last column: nearest neighbours and their distance in Å.
Fractional positions:
W  0.6633  0.6633  0.0000  4 W 2.82, 4 Ag 2.93, 4 Hg 3.03
Ag  0.0053  0.0053  0.0000  4 Ag 2.82, 4 W 2.93, 4 Hg 3.09
Hg  0.3314  0.3314  0.0000  4 Hg 2.82, 4 W 3.03, 4 Ag 3.09

=====

No. 4
Material: PmGdDyEr
Method: DFT, PBE
State: optimized geometry

Properties
- Volume: 32.51 A^3/atom
- Energy relative to the elements: 0.11 eV/atom

a b c (Å): 5.6870 5.6870 5.6870
angles (deg): 60.00 60.00 60.00
Last column: nearest neighbours and their distance in Å.
Fractional positions:
Dy  0.5000  0.5000  0.5000  4 Pm 3.48, 4 Gd 3.48
Pm  0.7500  0.7500  0.7500  4 Dy 3.48, 4 Er 3.48
Gd  0.2500  0.2500  0.2500  4 Dy 3.48, 4 Er 3.48
Er  0.0000  0.0000  0.0000  4 Pm 3.48, 4 Gd 3.48

=====

No. 5
Material: HgPtS2
Method: DFT, PBE
State: optimized geometry

Properties
- Volume: 24.28 A^3/atom
- ΔE_f (raw): -0.261 eV/atom

a b c (Å): 9.0136 3.5714 3.5716
angles (deg): 60.03 100.61 89.21
Last column: nearest neighbours and their distance in Å.
Fractional positions:
Hg  0.0925  0.1675  0.4200  6 Hg 3.57, 6 S 3.74-3.85
Pt  0.5931  0.6768  0.4309  6 S 2.40
S  0.7337  0.9600  0.8545  3 Pt 2.40
S  0.4525  0.3935  0.0072  3 Pt 2.40

=====

No. 6
Material: AgHgSe2
Method: DFT, PBE
State: optimized geometry

Properties
- Volume: 21.75 A^3/atom
- ΔE_f (raw): 0.298 eV/atom

a b c (Å): 5.2624 5.2624 5.2624
angles (deg): 128.42 128.42 75.95
Last column: nearest neighbours and their distance in Å.
Fractional positions:
Se  0.0000  0.0000  0.0000  4 Hg 3.09, 4 Ag 3.09, 4 Se 3.24
Hg  0.7500  0.2500  0.5000  8 Se 3.09, 4 Ag 3.24
Se  0.5000  0.5000  0.0000  4 Ag 3.09, 4 Hg 3.09, 4 Se 3.24
Ag  0.2500  0.7500  0.5000  8 Se 3.09, 4 Hg 3.24

=====

No. 7
Material: MgSnSbPb
Method: DFT, PBE
State: optimized geometry

Properties
- Volume: 27.76 A^3/atom
- ΔE_f (raw): 0.042 eV/atom

a b c (Å): 5.3950 5.3950 5.3950
angles (deg): 60.00 60.00 60.00
Last column: nearest neighbours and their distance in Å.
Fractional positions:
Pb  0.2500  0.2500  0.2500  4 Sn 3.30, 4 Sb 3.30
Sn  0.5000  0.5000  0.5000  4 Mg 3.30, 4 Pb 3.30
Sb  0.0000  0.0000  0.0000  4 Pb 3.30, 4 Mg 3.30
Mg  0.7500  0.7500  0.7500  4 Sn 3.30, 4 Sb 3.30

=====

No. 8
Material: Rb5Pb3I12
Method: DFT, PBE
State: optimized geometry

Properties
- Volume: 61.49 A^3/atom
- ΔE_f (raw): -0.905 eV/atom

a b c (Å): 18.5566 18.5566 18.5566
angles (deg): 109.47 109.47 109.47
Last column: nearest neighbours and their distance in Å.
Fractional positions:
I  0.6129  0.1818  0.9753  1 Pb 3.10
I  0.3182  0.2935  0.9311  1 Pb 3.10
I  0.1818  0.5689  0.2065  1 Pb 3.10
I  0.8871  0.3623  0.0689  1 Pb 3.10
I  0.3871  0.8182  0.0247  1 Pb 3.10
Pb  0.3750  0.7500  0.6250  4 I 3.10
Rb  0.5000  0.0000  0.0000  6 I 3.60
Rb  0.5000  0.5000  0.0000  6 I 3.60
I  0.9311  0.1377  0.1129  1 Pb 3.10
I  0.8182  0.4311  0.7935  1 Pb 3.10
I  0.7065  0.6818  0.5689  1 Pb 3.10
I  0.7935  0.8623  0.4753  1 Pb 3.10
Pb  0.7500  0.8750  0.6250  4 I 3.10
Rb  0.8750  0.2500  0.6250  4 I 3.83
I  0.8623  0.0689  0.3871  1 Pb 3.10
Rb  0.3750  0.1250  0.7500  4 I 3.83
I  0.2065  0.1377  0.5247  1 Pb 3.10
I  0.0247  0.3182  0.3871  1 Pb 3.10
I  0.0247  0.7065  0.1377  1 Pb 3.10
Rb  0.0000  0.0000  0.5000  6 I 3.60
I  0.3623  0.8871  0.5689  1 Pb 3.10
I  0.2065  0.0689  0.1818  1 Pb 3.10
Pb  0.3750  0.6250  0.2500  4 I 3.10
I  0.9311  0.7935  0.3182  1 Pb 3.10
Rb  0.3750  0.2500  0.1250  4 I 3.83
I  0.8871  0.5247  0.3182  1 Pb 3.10
Rb  0.6250  0.8750  0.2500  4 I 3.83
I  0.9753  0.2935  0.8623  1 Pb 3.10
Pb  0.8750  0.7500  0.1250  4 I 3.10
I  0.4753  0.1129  0.1818  1 Pb 3.10
Rb  0.7500  0.1250  0.8750  4 I 3.83
I  0.0689  0.8623  0.8871  1 Pb 3.10
Pb  0.6250  0.2500  0.3750  4 I 3.10
I  0.3182  0.0247  0.8871  1 Pb 3.10
Rb  0.6250  0.7500  0.8750  4 I 3.83
I  0.1377  0.9311  0.6129  1 Pb 3.10
Pb  0.2500  0.1250  0.3750  4 I 3.10
I  0.5689  0.1818  0.7065  1 Pb 3.10
I  0.3623  0.4753  0.2935  1 Pb 3.10
I  0.4311  0.6129  0.6377  1 Pb 3.10
Rb  0.2500  0.3750  0.6250  4 I 3.83
Pb  0.1250  0.8750  0.7500  4 I 3.10
Pb  0.1250  0.2500  0.8750  4 I 3.10
Pb  0.6250  0.3750  0.7500  4 I 3.10
I  0.4753  0.3623  0.7935  1 Pb 3.10
I  0.9753  0.6818  0.6129  1 Pb 3.10
I  0.5689  0.3871  0.3623  1 Pb 3.10
I  0.0689  0.2065  0.6818  1 Pb 3.10
I  0.3871  0.5689  0.8623  1 Pb 3.10
Rb  0.0000  0.5000  0.0000  6 I 3.60
I  0.1129  0.4753  0.6818  1 Pb 3.10
Rb  0.7500  0.6250  0.3750  4 I 3.83
Pb  0.8750  0.1250  0.2500  4 I 3.10
I  0.2935  0.3182  0.4311  1 Pb 3.10
Rb  0.0000  0.0000  0.0000  6 I 3.60
I  0.8623  0.7935  0.9753  1 Pb 3.10
I  0.7935  0.9311  0.8182  1 Pb 3.10
Rb  0.1250  0.3750  0.2500  4 I 3.83
Rb  0.8750  0.6250  0.7500  4 I 3.83
I  0.6129  0.4311  0.1377  1 Pb 3.10
I  0.1377  0.2065  0.0247  1 Pb 3.10
I  0.6818  0.9753  0.1129  1 Pb 3.10
Rb  0.5000  0.0000  0.5000  6 I 3.60
I  0.6377  0.1129  0.4311  1 Pb 3.10
Rb  0.2500  0.8750  0.1250  4 I 3.83
I  0.1129  0.6377  0.9311  1 Pb 3.10
Rb  0.5000  0.5000  0.5000  6 I 3.60
I  0.5247  0.6377  0.2065  1 Pb 3.10
Rb  0.0000  0.5000  0.5000  6 I 3.60
Pb  0.2500  0.6250  0.8750  4 I 3.10
I  0.6377  0.5247  0.7065  1 Pb 3.10
I  0.2935  0.9753  0.3623  1 Pb 3.10
I  0.8182  0.3871  0.5247  1 Pb 3.10
I  0.5247  0.8871  0.8182  1 Pb 3.10
I  0.4311  0.8182  0.2935  1 Pb 3.10
Rb  0.1250  0.7500  0.3750  4 I 3.83
I  0.7065  0.0247  0.6377  1 Pb 3.10
I  0.6818  0.7065  0.0689  1 Pb 3.10
Pb  0.7500  0.3750  0.1250  4 I 3.10
I  0.1818  0.6129  0.4753  1 Pb 3.10

=====

No. 9
Material: SmYCuSi
Method: DFT, PBE
State: optimized geometry

Properties
- Volume: 22.05 A^3/atom
- Distance to the lowest polymorph of the same formula: 96.2 meV per atom
- ΔE_f (raw): -0.417 eV/atom

a b c (Å): 4.9966 4.9966 4.9966
angles (deg): 60.00 60.00 60.00
Last column: nearest neighbours and their distance in Å.
Fractional positions:
Y  0.5000  0.5000  0.5000  4 Si 3.06, 4 Cu 3.06
Sm  0.0000  0.0000  0.0000  4 Cu 3.06, 4 Si 3.06
Si  0.2500  0.2500  0.2500  4 Sm 3.06, 4 Y 3.06
Cu  0.7500  0.7500  0.7500  4 Sm 3.06, 4 Y 3.06

=====

Look up the volume of the ninth one.
22.05 A^3/atom

=====

What is the volume in the eighth record?
61.49 A^3/atom

=====

Repeat the seventh record exactly.
Material: MgSnSbPb
Method: DFT, PBE
State: optimized geometry

Properties
- Volume: 27.76 A^3/atom
- ΔE_f (raw): 0.042 eV/atom

a b c (Å): 5.3950 5.3950 5.3950
angles (deg): 60.00 60.00 60.00
Last column: nearest neighbours and their distance in Å.
Fractional positions:
Pb  0.2500  0.2500  0.2500  4 Sn 3.30, 4 Sb 3.30
Sn  0.5000  0.5000  0.5000  4 Mg 3.30, 4 Pb 3.30
Sb  0.0000  0.0000  0.0000  4 Pb 3.30, 4 Mg 3.30
Mg  0.7500  0.7500  0.7500  4 Sn 3.30, 4 Sb 3.30

=====

Which formula does entry 7 have?
MgSnSbPb